ZnCd3F6, relaxed, DFT PBE; formation energy without anion corrections = -181 kJ/mol of atoms; SG = No. 14; electronic total energy = -68.1 eV/cell
1.0
5.983 0.000 -0.003
0.000 6.154 0.000
0.093 0.000 8.739
Zn Cd F
2 6 12
Cartesian
3.038 3.077 4.368
0.000 0.000 0.000
3.118 5.564 6.254
2.992 3.077 -0.002
2.958 0.591 2.482
0.080 3.668 1.886
0.046 0.000 4.369
5.996 2.486 6.850
4.547 0.707 7.477
3.395 1.172 4.815
4.245 2.626 2.694
1.831 3.528 6.041
2.681 4.982 3.921
1.529 5.447 1.259
1.509 2.370 3.109
0.357 1.905 0.447
1.300 0.451 7.065
4.776 5.704 1.670
5.719 4.249 8.289
4.567 3.784 5.627



ZnCd2F, relaxed, DFT PBE; formation energy without anion corrections = -48 kJ/mol of atoms; DOS at the Fermi energy = 0.273 states/eV per atom; energy above the lowest structure with this stoichiometry = 112 meV/atom; SG = No. 225; electronic total energy = -6.9 eV/cell
1.0
2.025 0.228 4.261
-2.651 -0.328 3.895
0.248 -3.862 2.706
Zn F Cd
1 1 2
Cartesian
-0.189 -1.982 5.431
0.000 0.000 0.000
-0.095 -0.991 2.715
-0.284 -2.972 8.146



ZnCdF2, relaxed, DFT PBE; formation energy without anion corrections = -153 kJ/mol of atoms; DOS at the Fermi energy = 0.115 states/eV per atom; energy above the lowest structure with this stoichiometry = 0 meV/atom; SG = No. 166; electronic total energy = -12.3 eV/cell
1.0
1.750 0.000 7.545
-0.875 1.515 7.545
-0.875 -1.515 7.545
Zn F Cd
1 2 1
Cartesian
0.000 0.000 11.318
0.000 0.000 19.948
0.000 0.000 2.687
0.000 0.000 0.000



ZnCd2F, relaxed, DFT PBE; formation energy without anion corrections = -58 kJ/mol of atoms; DOS at the Fermi energy = 0.202 states/eV per atom; energy above the lowest structure with this stoichiometry = 0 meV/atom; SG = No. 122; electronic total energy = -14.8 eV/cell
1.0
-3.863 2.449 5.644
-6.031 -0.190 -4.045
-5.439 -1.636 1.663
Zn F Cd
2 2 4
Cartesian
0.000 0.000 0.000
-7.125 0.971 4.053
-4.947 1.130 0.799
-8.209 -0.348 -0.792
-4.386 1.008 3.230
-5.755 -0.131 -1.199
-8.012 -0.387 1.697
-12.515 0.757 2.795



ZnCd3F, relaxed, DFT PBE; formation energy without anion corrections = -20 kJ/mol of atoms; DOS at the Fermi energy = 0.345 states/eV per atom; energy above the lowest structure with this stoichiometry = 5 meV/atom; SG = No. 221; electronic total energy = -6.9 eV/cell
1.0
-1.581 4.853 0.094
-0.252 0.017 -5.099
-4.848 -1.584 0.234
Zn F Cd
1 1 3
Cartesian
0.000 0.000 0.000
-3.340 1.643 -2.385
-0.126 0.009 -2.549
-2.424 -0.792 0.117
-0.791 2.427 0.047



ZnCdF2, relaxed, DFT PBE; formation energy without anion corrections = -106 kJ/mol of atoms; DOS at the Fermi energy = 0.324 states/eV per atom; energy above the lowest structure with this stoichiometry = 488 meV/atom; SG = No. 225; electronic total energy = -10.3 eV/cell
1.0
-2.272 0.477 3.687
-4.149 -1.314 0.187
-1.073 -3.497 2.366
Zn F Cd
1 2 1
Cartesian
0.000 0.000 0.000
-1.873 -1.083 1.560
-5.620 -3.250 4.680
-3.747 -2.167 3.120